Entry 1:
First-principles (PBE) data for Ac4RhSe2I after structural relaxation, as listed in Alexandria.

Cell: 7.914 4.363 8.130 Å, 90.00 107.85 90.00°
Space group P2/m (No. 10)
Asymmetric unit:
Ac (0.228, 0.000, 0.214) (multiplicity 2)
Ac (0.266, 0.500, 0.776) (multiplicity 2)
Rh (0.000, 0.500, 0.000) (multiplicity 1)
Se (0.500, 0.000, 0.000) (multiplicity 1)
Se (0.500, 0.500, 0.500) (multiplicity 1)
I (0.000, 0.000, 0.500) (multiplicity 1)

Values from the calculation:
- crystal system = monoclinic
- DFT total energy (eV/f.u.) = -42.6
- M_tot (μB per cell) = 0.000
- energy relative to the elements, uncorrected (eV per formula unit) = -10.33

Entry 2:
First-principles (PBE) data for AcCdP2 after structural relaxation, as listed in Alexandria.

Cell: 4.846 4.846 3.988 Å, 90.00 90.00 90.00°
Space group P4/mmm (No. 123)
Asymmetric unit:
Ac (0.000, 0.000, 0.000) (multiplicity 1)
Cd (0.500, 0.500, 0.000) (multiplicity 1)
P (0.000, 0.500, 0.500) (multiplicity 2)

Values from the calculation:
- energy above the most stable polymorph in this dataset (meV per atom) = 55
- crystal system = tetragonal
- DFT total energy (eV/f.u.) = -17.6
- M_tot (μB per cell) = 0.000
- E_form (eV per atom) = -0.451

Entry 3:
First-principles (PBE) data for HfPd6Pt after structural relaxation, as listed in Alexandria.

Cell: 5.2788 5.2788 20.4724 Å, 90.00 90.00 120.00°
Space group R-3m (No. 166, hexagonal axes)
Asymmetric unit:
Hf (0.0000, 0.0000, 0.0000) (multiplicity 3)
Pd (0.0045, 0.5023, 0.4345) (multiplicity 18)
Pt (0.0000, 0.0000, 0.5000) (multiplicity 3)

Values from the calculation:
- energy above the most stable polymorph in this dataset (meV per atom) = 655
- crystal system = trigonal
- DFT total energy (eV/f.u.) = -45.6
- M_tot (μB per cell) = 0.000
- E_form (eV per atom) = 0.199

Entry 4:
First-principles (PBE) data for Dy12Tm5Zn3 after structural relaxation, as listed in Alexandria.

Cell: 18.025 18.025 18.025 Å, 90.00 90.00 90.00°
Space group Ia-3d (No. 230)
Asymmetric unit:
Dy (0.007, 0.089, 0.647) (multiplicity 96)
Tm (0.000, 0.000, 0.000) (multiplicity 16)
Tm (0.000, 0.250, 0.375) (multiplicity 24)
Zn (0.000, 0.250, 0.125) (multiplicity 24)

Values from the calculation:
- crystal system = cubic
- DFT total energy (eV/f.u.) = -64.3
- M_tot (μB per cell) = 0.002
- E_form (eV per atom) = 0.857